No. 1
# PBE-GGA Y2TiSnO, relaxed
# formation energy (no corrections)	-1.36	eV/atom
# size of the total moment	0.21	μB/atom
# raw total energy	-7.32	eV/atom
data_Y2TiSnO
_chemical_formula_sum 'Y2 Ti1 Sn1 O1'
_space_group_name_H-M_alt 'P 4/m m m'
_space_group_IT_number 123
_space_group_name_Hall '-P 4 2'
_cell_length_a 4.921
_cell_length_b 4.921
_cell_length_c 4.101
_cell_angle_alpha 90.00
_cell_angle_beta 90.00
_cell_angle_gamma 90.00
loop_
_atom_site_label
_atom_site_fract_x
_atom_site_fract_y
_atom_site_fract_z
_atom_site_occupancy
Y1 0.000 0.500 0.000 1
Ti1 0.000 0.000 0.500 1
Sn1 0.500 0.500 0.500 1
O1 0.000 0.000 0.000 1

No. 2
# PBE-GGA Ti2Zn2SnO7, relaxed
# formation energy (no corrections)	-2.15	eV/atom
# size of the total moment	0.00	μB/atom
# raw total energy	-6.90	eV/atom
data_Ti2Zn2SnO7
_chemical_formula_sum 'Ti8 Zn8 Sn4 O28'
_space_group_name_H-M_alt 'C m c 21'
_space_group_IT_number 36
_space_group_name_Hall 'C 2c -2'
_cell_length_a 14.090
_cell_length_b 7.450
_cell_length_c 6.648
_cell_angle_alpha 90.00
_cell_angle_beta 90.00
_cell_angle_gamma 90.00
loop_
_atom_site_label
_atom_site_fract_x
_atom_site_fract_y
_atom_site_fract_z
_atom_site_occupancy
Ti1 0.116 0.147 0.000 1
Zn1 0.197 0.500 0.250 1
Sn1 0.000 0.298 0.497 1
O1 0.000 0.003 0.999 1
O2 0.114 0.285 0.223 1
O3 0.115 0.285 0.778 1
O4 0.227 0.019 0.000 1

No. 3
# PBE-GGA Ti4Zn3SnO12, relaxed
# formation energy (no corrections)	-2.28	eV/atom
# size of the total moment	0.00	μB/atom
# raw total energy	-7.22	eV/atom
data_Ti4Zn3SnO12
_chemical_formula_sum 'Ti8 Zn6 Sn2 O24'
_space_group_name_H-M_alt 'I m -3'
_space_group_IT_number 204
_space_group_name_Hall '-I 2 2 3'
_cell_length_a 7.558
_cell_length_b 7.558
_cell_length_c 7.558
_cell_angle_alpha 90.00
_cell_angle_beta 90.00
_cell_angle_gamma 90.00
loop_
_atom_site_label
_atom_site_fract_x
_atom_site_fract_y
_atom_site_fract_z
_atom_site_occupancy
Ti1 0.250 0.250 0.250 1
Zn1 0.000 0.000 0.500 1
Sn1 0.000 0.000 0.000 1
O1 0.000 0.187 0.303 1

No. 4
# PBE-GGA Zr2TiSnO8, relaxed
# formation energy (no corrections)	-2.79	eV/atom
# size of the total moment	0.00	μB/atom
# raw total energy	-8.51	eV/atom
data_Zr2TiSnO8
_chemical_formula_sum 'Zr2 Ti1 Sn1 O8'
_space_group_name_H-M_alt 'P 1 2 1'
_space_group_IT_number 3
_space_group_name_Hall 'P 2y'
_cell_length_a 4.875
_cell_length_b 5.778
_cell_length_c 5.209
_cell_angle_alpha 90.00
_cell_angle_beta 90.77
_cell_angle_gamma 90.00
loop_
_atom_site_label
_atom_site_fract_x
_atom_site_fract_y
_atom_site_fract_z
_atom_site_occupancy
Zr1 0.000 0.000 0.000 1
Zr2 0.500 0.136 0.500 1
Ti1 0.000 0.645 0.500 1
Sn1 0.500 0.507 0.000 1
O1 0.219 0.929 0.669 1
O2 0.228 0.719 0.188 1
O3 0.255 0.449 0.664 1
O4 0.283 0.226 0.167 1

No. 5
# PBE-GGA ZrTiSnO6, relaxed
# formation energy (no corrections)	-2.61	eV/atom
# size of the total moment	0.00	μB/atom
# raw total energy	-8.19	eV/atom
data_ZrTiSnO6
_chemical_formula_sum 'Zr2 Ti2 Sn2 O12'
_space_group_name_H-M_alt 'P 42 n m'
_space_group_IT_number 102
_space_group_name_Hall 'P 4n -2n'
_cell_length_a 4.811
_cell_length_b 4.811
_cell_length_c 9.508
_cell_angle_alpha 90.00
_cell_angle_beta 90.00
_cell_angle_gamma 90.00
loop_
_atom_site_label
_atom_site_fract_x
_atom_site_fract_y
_atom_site_fract_z
_atom_site_occupancy
Zr1 0.000 0.000 0.000 1
Ti1 0.000 0.000 0.669 1
Sn1 0.000 0.000 0.333 1
O1 0.189 0.189 0.505 1
O2 0.191 0.191 0.823 1
O3 0.205 0.205 0.168 1

No. 6
# PBE-GGA TlSn3O, relaxed
# formation energy (no corrections)	-0.23	eV/atom
# size of the total moment	0.00	μB/atom
# raw total energy	-4.10	eV/atom
data_TlSn3O
_chemical_formula_sum 'Tl1 Sn3 O1'
_space_group_name_H-M_alt 'P m -3 m'
_space_group_IT_number 221
_space_group_name_Hall '-P 4 2 3'
_cell_length_a 4.956
_cell_length_b 4.956
_cell_length_c 4.956
_cell_angle_alpha 90.00
_cell_angle_beta 90.00
_cell_angle_gamma 90.00
loop_
_atom_site_label
_atom_site_fract_x
_atom_site_fract_y
_atom_site_fract_z
_atom_site_occupancy
Tl1 0.000 0.000 0.000 1
Sn1 0.000 0.500 0.500 1
O1 0.500 0.500 0.500 1

No. 7
# PBE-GGA Tl2SnO4, relaxed
# formation energy (no corrections)	-0.80	eV/atom
# size of the total moment	0.00	μB/atom
# raw total energy	-4.88	eV/atom
data_Tl2SnO4
_chemical_formula_sum 'Tl4 Sn2 O8'
_space_group_name_H-M_alt 'I 4/m m m'
_space_group_IT_number 139
_space_group_name_Hall '-I 4 2'
_cell_length_a 4.112
_cell_length_b 4.112
_cell_length_c 12.747
_cell_angle_alpha 90.00
_cell_angle_beta 90.00
_cell_angle_gamma 90.00
loop_
_atom_site_label
_atom_site_fract_x
_atom_site_fract_y
_atom_site_fract_z
_atom_site_occupancy
Tl1 0.000 0.000 0.151 1
Sn1 0.000 0.000 0.500 1
O1 0.000 0.000 0.336 1
O2 0.000 0.500 0.000 1

No. 8
# PBE-GGA TlSnO3, relaxed
# formation energy (no corrections)	-0.25	eV/atom
# size of the total moment	0.00	μB/atom
# raw total energy	-4.50	eV/atom
data_TlSnO3
_chemical_formula_sum 'Tl1 Sn1 O3'
_space_group_name_H-M_alt 'P m -3 m'
_space_group_IT_number 221
_space_group_name_Hall '-P 4 2 3'
_cell_length_a 4.215
_cell_length_b 4.215
_cell_length_c 4.215
_cell_angle_alpha 90.00
_cell_angle_beta 90.00
_cell_angle_gamma 90.00
loop_
_atom_site_label
_atom_site_fract_x
_atom_site_fract_y
_atom_site_fract_z
_atom_site_occupancy
Tl1 0.000 0.000 0.000 1
Sn1 0.500 0.500 0.500 1
O1 0.000 0.000 0.500 1

No. 9
# PBE-GGA TlSnO, relaxed
# formation energy (no corrections)	-0.77	eV/atom
# size of the total moment	0.00	μB/atom
# raw total energy	-4.54	eV/atom
data_TlSnO
_chemical_formula_sum 'Tl4 Sn4 O4'
_space_group_name_H-M_alt 'P n m a'
_space_group_IT_number 62
_space_group_name_Hall '-P 2ac 2n'
_cell_length_a 20.276
_cell_length_b 4.014
_cell_length_c 3.580
_cell_angle_alpha 90.00
_cell_angle_beta 90.00
_cell_angle_gamma 90.00
loop_
_atom_site_label
_atom_site_fract_x
_atom_site_fract_y
_atom_site_fract_z
_atom_site_occupancy
Tl1 0.054 0.250 0.226 1
Sn1 0.191 0.750 0.499 1
O1 0.246 0.250 0.499 1

No. 10
# PBE-GGA Tl3SnO, relaxed
# formation energy (no corrections)	-0.06	eV/atom
# size of the total moment	0.00	μB/atom
# raw total energy	-3.28	eV/atom
data_Tl3SnO
_chemical_formula_sum 'Tl3 Sn1 O1'
_space_group_name_H-M_alt 'P m -3 m'
_space_group_IT_number 221
_space_group_name_Hall '-P 4 2 3'
_cell_length_a 5.080
_cell_length_b 5.080
_cell_length_c 5.080
_cell_angle_alpha 90.00
_cell_angle_beta 90.00
_cell_angle_gamma 90.00
loop_
_atom_site_label
_atom_site_fract_x
_atom_site_fract_y
_atom_site_fract_z
_atom_site_occupancy
Tl1 0.000 0.000 0.500 1
Sn1 0.500 0.500 0.500 1
O1 0.000 0.000 0.000 1

No. 11
# PBE-GGA Tl2SnO5, relaxed
# formation energy (no corrections)	-1.01	eV/atom
# size of the total moment	0.00	μB/atom
# raw total energy	-5.20	eV/atom
data_Tl2SnO5
_chemical_formula_sum 'Tl8 Sn4 O20'
_space_group_name_H-M_alt 'P n m a'
_space_group_IT_number 62
_space_group_name_Hall '-P 2ac 2n'
_cell_length_a 7.426
_cell_length_b 3.854
_cell_length_c 15.856
_cell_angle_alpha 90.00
_cell_angle_beta 90.00
_cell_angle_gamma 90.00
loop_
_atom_site_label
_atom_site_fract_x
_atom_site_fract_y
_atom_site_fract_z
_atom_site_occupancy
Tl1 0.090 0.250 0.088 1
Tl2 0.163 0.250 0.742 1
Sn1 0.109 0.250 0.428 1
O1 0.067 0.750 0.458 1
O2 0.077 0.750 0.179 1
O3 0.122 0.750 0.650 1
O4 0.151 0.750 0.003 1
O5 0.220 0.750 0.828 1

No. 12
# PBE-GGA TlSn3O, relaxed
# formation energy (no corrections)	1.11	eV/atom
# size of the total moment	0.00	μB/atom
# raw total energy	-2.75	eV/atom
data_TlSn3O
_chemical_formula_sum 'Tl1 Sn3 O1'
_space_group_name_H-M_alt 'P m -3 m'
_space_group_IT_number 221
_space_group_name_Hall '-P 4 2 3'
_cell_length_a 5.729
_cell_length_b 5.729
_cell_length_c 5.729
_cell_angle_alpha 90.00
_cell_angle_beta 90.00
_cell_angle_gamma 90.00
loop_
_atom_site_label
_atom_site_fract_x
_atom_site_fract_y
_atom_site_fract_z
_atom_site_occupancy
Tl1 0.000 0.000 0.000 1
Sn1 0.000 0.000 0.500 1
O1 0.500 0.500 0.500 1